# NaNdO, relaxed, DFT PBE-GGA
data_NaNdO
_chemical_formula_sum 'Na8 Nd8 O8'
_cell_length_a 21.152
_cell_length_b 4.102
_cell_length_c 8.267
_cell_angle_alpha 90.00
_cell_angle_beta 92.20
_cell_angle_gamma 90.00
_space_group_name_H-M_alt 'C 1 2/m 1'
_space_group_IT_number 12
loop_
_space_group_symop_operation_xyz
'x,y,z'
'-x,-y,-z'
'-x,y,-z'
'x,-y,z'
'x+1/2,y+1/2,z'
'-x+1/2,-y+1/2,-z'
'-x+1/2,y+1/2,-z'
'x+1/2,-y+1/2,z'
loop_
_atom_site_label
_atom_site_fract_x
_atom_site_fract_y
_atom_site_fract_z
Na1 0.046 0.000 0.336
Na2 0.067 0.500 0.877
Nd1 0.196 0.000 0.620
Nd2 0.198 0.000 0.119
O1 0.250 0.000 0.376
O2 0.250 0.000 0.873
# Volume in Å³ per atom: 29.9
# E in eV per atom: -5.4494
# Raw formation energy in meV per atom: -1768
# N(E_F) in states/eV/f.u.: 1.19
# Energy relative to the lowest polymorph listed for this composition in eV per atom: 0.0000

# Tb4Ho5Tm3, relaxed, DFT PBE-GGA
data_Tb4Ho5Tm3
_chemical_formula_sum 'Tb8 Ho10 Tm6'
_cell_length_a 15.922
_cell_length_b 5.822
_cell_length_c 9.194
_cell_angle_alpha 90.00
_cell_angle_beta 116.60
_cell_angle_gamma 90.00
_space_group_name_H-M_alt 'C 1 2/m 1'
_space_group_IT_number 12
loop_
_space_group_symop_operation_xyz
'x,y,z'
'-x,-y,-z'
'-x,y,-z'
'x,-y,z'
'x+1/2,y+1/2,z'
'-x+1/2,-y+1/2,-z'
'-x+1/2,y+1/2,-z'
'x+1/2,-y+1/2,z'
loop_
_atom_site_label
_atom_site_fract_x
_atom_site_fract_y
_atom_site_fract_z
Tb1 0.081 0.000 0.441
Tb2 0.215 0.000 0.879
Ho1 0.000 0.000 0.000
Ho2 0.073 0.500 0.702
Ho3 0.173 0.500 0.385
Tm1 0.000 0.500 0.000
Tm2 0.210 0.000 0.233
# Volume in Å³ per atom: 31.8
# E in eV per atom: -4.3247
# Calculated formation energy in eV/f.u.: 2.93
# N(E_F) in states/eV/f.u.: 19.65
# Energy relative to the lowest polymorph listed for this composition in eV per atom: 0.2243

# LiHgPd2, relaxed, DFT PBE-GGA
data_LiHgPd2
_chemical_formula_sum 'Li1 Hg1 Pd2'
_cell_length_a 4.067
_cell_length_b 4.067
_cell_length_c 3.902
_cell_angle_alpha 90.00
_cell_angle_beta 90.00
_cell_angle_gamma 90.00
_space_group_name_H-M_alt 'P 4/m m m'
_space_group_IT_number 123
_space_group_name_Hall '-P 4 2'
loop_
_atom_site_label
_atom_site_fract_x
_atom_site_fract_y
_atom_site_fract_z
Li1 0.000 0.000 0.000
Hg1 0.500 0.500 0.000
Pd1 0.000 0.500 0.500
# Volume in Å³ per atom: 16.1
# E in eV per atom: -3.5185
# Calculated formation energy in eV/f.u.: -1.47
# N(E_F) in states/eV/f.u.: 1.70

# CrNiHIr, relaxed, DFT PBE-GGA
data_CrNiHIr
_chemical_formula_sum 'Cr2 Ni2 H2 Ir2'
_cell_length_a 2.612
_cell_length_b 4.420
_cell_length_c 7.039
_cell_angle_alpha 90.00
_cell_angle_beta 90.00
_cell_angle_gamma 90.00
_space_group_name_H-M_alt 'I m m 2'
_space_group_IT_number 44
loop_
_space_group_symop_operation_xyz
'x,y,z'
'-x,-y,z'
'-x,y,z'
'x,-y,z'
'x+1/2,y+1/2,z+1/2'
'-x+1/2,-y+1/2,z+1/2'
'-x+1/2,y+1/2,z+1/2'
'x+1/2,-y+1/2,z+1/2'
loop_
_atom_site_label
_atom_site_fract_x
_atom_site_fract_y
_atom_site_fract_z
Cr1 0.000 0.000 0.000
Ni1 0.000 0.000 0.630
H1 0.000 0.500 0.314
Ir1 0.000 0.500 0.816
# Volume in Å³ per atom: 10.2
# E in eV per atom: -6.7629
# N(E_F) in states/eV/f.u.: 4.45
# Energy relative to the lowest polymorph listed for this composition in eV per atom: 0.2396

# PmSmHo2Th, relaxed, DFT PBE-GGA
data_PmSmHo2Th
_chemical_formula_sum 'Pm2 Sm2 Ho4 Th2'
_cell_length_a 8.616
_cell_length_b 6.481
_cell_length_c 6.333
_cell_angle_alpha 90.00
_cell_angle_beta 100.93
_cell_angle_gamma 90.00
_space_group_name_H-M_alt 'P 1 2/c 1'
_space_group_IT_number 13
loop_
_space_group_symop_operation_xyz
'x,y,z'
'-x,-y,-z'
'-x,y,-z+1/2'
'x,-y,z+1/2'
loop_
_atom_site_label
_atom_site_fract_x
_atom_site_fract_y
_atom_site_fract_z
Pm1 0.000 0.000 0.000
Sm1 0.500 0.169 0.250
Ho1 0.314 0.323 0.691
Th1 0.000 0.450 0.250
# Volume in Å³ per atom: 34.7
# E in eV per atom: -4.8896
# Calculated formation energy in eV/f.u.: 1.60
# N(E_F) in states/eV/f.u.: 6.84

# AcTl2I3Br3, relaxed, DFT PBE-GGA
data_AcTl2I3Br3
_chemical_formula_sum 'Ac1 Tl2 I3 Br3'
_cell_length_a 9.1027
_cell_length_b 9.1027
_cell_length_c 4.5370
_cell_angle_alpha 90.00
_cell_angle_beta 90.00
_cell_angle_gamma 120.00
_space_group_name_H-M_alt 'P -6 2 m'
_space_group_IT_number 189
_space_group_name_Hall 'P -6 -2'
loop_
_atom_site_label
_atom_site_fract_x
_atom_site_fract_y
_atom_site_fract_z
Ac1 0.0000 0.0000 0.0000
Tl1 0.3333 0.6667 0.5000
I1 0.0000 0.6005 0.0000
Br1 0.0000 0.2386 0.5000
# Volume in Å³ per atom: 36.2
# E in eV per atom: -3.1654
# Raw formation energy in meV per atom: -1109
# N(E_F) in states/eV/f.u.: 12.69

# HoZrHgRh, relaxed, DFT PBE-GGA
data_HoZrHgRh
_chemical_formula_sum 'Ho4 Zr4 Hg4 Rh4'
_cell_length_a 6.966
_cell_length_b 6.966
_cell_length_c 6.966
_cell_angle_alpha 90.00
_cell_angle_beta 90.00
_cell_angle_gamma 90.00
_space_group_name_H-M_alt 'F -4 3 m'
_space_group_IT_number 216
_space_group_name_Hall 'F -4 2 3'
loop_
_atom_site_label
_atom_site_fract_x
_atom_site_fract_y
_atom_site_fract_z
Ho1 0.000 0.000 0.000
Zr1 0.000 0.000 0.500
Hg1 0.250 0.250 0.750
Rh1 0.250 0.250 0.250
# Volume in Å³ per atom: 21.1
# E in eV per atom: -5.6329
# Calculated formation energy in eV/f.u.: -1.75
# N(E_F) in states/eV/f.u.: 3.70

# PuNbTl2O6, relaxed, DFT PBE-GGA
data_PuNbTl2O6
_chemical_formula_sum 'Pu4 Nb4 Tl8 O24'
_cell_length_a 8.429
_cell_length_b 8.429
_cell_length_c 8.429
_cell_angle_alpha 90.00
_cell_angle_beta 90.00
_cell_angle_gamma 90.00
_space_group_name_H-M_alt 'F m -3 m'
_space_group_IT_number 225
_space_group_name_Hall '-F 4 2 3'
loop_
_atom_site_label
_atom_site_fract_x
_atom_site_fract_y
_atom_site_fract_z
Pu1 0.000 0.000 0.000
Nb1 0.000 0.000 0.500
Tl1 0.250 0.250 0.250
O1 0.000 0.000 0.258
# Volume in Å³ per atom: 15.0
# E in eV per atom: -7.9285
# Raw formation energy in meV per atom: -2040
# N(E_F) in states/eV/f.u.: 7.27

# MnReIN2, relaxed, DFT PBE-GGA
data_MnReIN2
_chemical_formula_sum 'Mn1 Re1 I1 N2'
_cell_length_a 3.738
_cell_length_b 3.738
_cell_length_c 5.613
_cell_angle_alpha 90.00
_cell_angle_beta 90.00
_cell_angle_gamma 90.00
_space_group_name_H-M_alt 'P 4/m m m'
_space_group_IT_number 123
_space_group_name_Hall '-P 4 2'
loop_
_atom_site_label
_atom_site_fract_x
_atom_site_fract_y
_atom_site_fract_z
Mn1 0.000 0.000 0.000
Re1 0.500 0.500 0.500
I1 0.000 0.000 0.500
N1 0.000 0.500 0.000
# Volume in Å³ per atom: 15.7
# E in eV per atom: -6.2544
# Raw formation energy in meV per atom: 1709
# N(E_F) in states/eV/f.u.: 4.43
# Energy relative to the lowest polymorph listed for this composition in eV per atom: 0.9349

# PSe, relaxed, DFT PBE-GGA
data_PSe
_chemical_formula_sum 'P8 Se8'
_cell_length_a 10.487
_cell_length_b 10.487
_cell_length_c 3.673
_cell_angle_alpha 90.00
_cell_angle_beta 90.00
_cell_angle_gamma 90.00
_space_group_name_H-M_alt 'I 4/m'
_space_group_IT_number 87
_space_group_name_Hall '-I 4'
loop_
_atom_site_label
_atom_site_fract_x
_atom_site_fract_y
_atom_site_fract_z
P1 0.181 0.287 0.000
Se1 0.009 0.746 0.500
# Volume in Å³ per atom: 25.2
# E in eV per atom: -4.1869
# Raw formation energy in meV per atom: 260
# N(E_F) in states/eV/f.u.: 0.81
# Energy relative to the lowest polymorph listed for this composition in eV per atom: 0.3404

# KTlHg2Pd2, relaxed, DFT PBE-GGA
data_KTlHg2Pd2
_chemical_formula_sum 'K1 Tl1 Hg2 Pd2'
_cell_length_a 5.191
_cell_length_b 5.191
_cell_length_c 6.391
_cell_angle_alpha 90.00
_cell_angle_beta 90.00
_cell_angle_gamma 90.00
_space_group_name_H-M_alt 'P 4/m m m'
_space_group_IT_number 123
_space_group_name_Hall '-P 4 2'
loop_
_atom_site_label
_atom_site_fract_x
_atom_site_fract_y
_atom_site_fract_z
K1 0.000 0.000 0.000
Tl1 0.000 0.000 0.500
Hg1 0.500 0.500 0.263
Pd1 0.000 0.500 0.500
# Volume in Å³ per atom: 28.7
# E in eV per atom: -2.4191
# Calculated formation energy in eV/f.u.: -0.06
# N(E_F) in states/eV/f.u.: 2.42

# CaScCuNi, relaxed, DFT PBE-GGA
data_CaScCuNi
_chemical_formula_sum 'Ca4 Sc4 Cu4 Ni4'
_cell_length_a 6.667
_cell_length_b 6.667
_cell_length_c 6.667
_cell_angle_alpha 90.00
_cell_angle_beta 90.00
_cell_angle_gamma 90.00
_space_group_name_H-M_alt 'F -4 3 m'
_space_group_IT_number 216
_space_group_name_Hall 'F -4 2 3'
loop_
_atom_site_label
_atom_site_fract_x
_atom_site_fract_y
_atom_site_fract_z
Ca1 0.000 0.000 0.000
Sc1 0.000 0.000 0.500
Cu1 0.250 0.250 0.250
Ni1 0.250 0.250 0.750
# Volume in Å³ per atom: 18.5
# E in eV per atom: -4.6804
# Calculated formation energy in eV/f.u.: -0.51
# N(E_F) in states/eV/f.u.: 2.42

- Among the records above, which one has the lowest volume?
  CrNiHIr